DFT (GGA-PBE) results for crystalline MoOsSe2 at its relaxed geometry. Values from VASP.

Quantum ESPRESSO input file:
```
&SYSTEM
  ibrav = 0, nat = 4, ntyp = 3
/
ATOMIC_SPECIES
Se 78.96 Se.upf
Mo 95.94 Mo.upf
Os 190.23 Os.upf
CELL_PARAMETERS angstrom
-1.335 3.410 -1.455
-2.526 -1.387 -0.932
-4.957 0.299 5.252
ATOMIC_POSITIONS crystal
Se 0.000 0.014 0.899
Se 0.500 0.139 0.352
Mo 0.000 0.476 0.542
Os 0.500 0.871 0.706
```

Calculated values
The total magnetization comes out at 0.000 μB/f.u. The uncorrected formation energy comes out at 15.3 kJ/mol of atoms. As for the polymorph energy (0 for the lowest one): 0.58 eV per formula unit.

---

DFT (GGA-PBE) results for crystalline MoOs2Se at its relaxed geometry. Values from VASP.

Quantum ESPRESSO input file:
```
&SYSTEM
  ibrav = 0, nat = 4, ntyp = 3
/
ATOMIC_SPECIES
Se 78.96 Se.upf
Os 190.23 Os.upf
Mo 95.94 Mo.upf
CELL_PARAMETERS angstrom
-3.682 -2.520 -1.916
0.735 -0.736 -4.743
2.795 -0.737 3.901
ATOMIC_POSITIONS crystal
Se 0.250 0.750 0.500
Os 0.000 0.000 0.000
Os 0.500 0.500 0.000
Mo 0.750 0.250 0.500
```

Calculated values
The total magnetization comes out at 0.000 μB/f.u. The uncorrected formation energy comes out at 67.5 kJ/mol of atoms.

---

DFT (GGA-PBE) results for crystalline MoOsSe2 at its relaxed geometry. Values from VASP.

Quantum ESPRESSO input file:
```
&SYSTEM
  ibrav = 0, nat = 4, ntyp = 3
/
ATOMIC_SPECIES
Se 78.96 Se.upf
Mo 95.94 Mo.upf
Os 190.23 Os.upf
CELL_PARAMETERS angstrom
5.161 -0.197 0.072
1.500 4.942 -0.072
-2.375 -3.713 2.692
ATOMIC_POSITIONS crystal
Se 0.494 0.494 0.000
Se 0.006 0.006 0.000
Mo 0.750 0.250 0.500
Os 0.250 0.750 0.500
```

Calculated values
The total magnetization comes out at 0.000 μB/f.u. The uncorrected formation energy comes out at 79.1 kJ/mol of atoms. As for the polymorph energy (0 for the lowest one): 3.23 eV per formula unit.

---

DFT (GGA-PBE) results for crystalline Mo2OsSe at its relaxed geometry. Values from VASP.

Quantum ESPRESSO input file:
```
&SYSTEM
  ibrav = 0, nat = 4, ntyp = 3
/
ATOMIC_SPECIES
Se 78.96 Se.upf
Mo 95.94 Mo.upf
Os 190.23 Os.upf
CELL_PARAMETERS angstrom
-1.650 7.236 -5.152
-4.354 6.643 -4.305
-2.625 8.239 -2.618
ATOMIC_POSITIONS crystal
Se 0.743 0.743 0.743
Mo 0.005 0.005 0.005
Mo 0.248 0.248 0.248
Os 0.504 0.504 0.504
```

Calculated values
The total magnetization comes out at 0.000 μB/f.u. The uncorrected formation energy comes out at 29.3 kJ/mol of atoms.

---

DFT (GGA-PBE) results for crystalline MoOs2Se at its relaxed geometry. Values from VASP.

Quantum ESPRESSO input file:
```
&SYSTEM
  ibrav = 0, nat = 4, ntyp = 3
/
ATOMIC_SPECIES
Os 190.23 Os.upf
Se 78.96 Se.upf
Mo 95.94 Mo.upf
CELL_PARAMETERS angstrom
-3.919 0.035 0.746
-0.140 -2.784 -0.605
0.890 -2.547 4.791
ATOMIC_POSITIONS crystal
Os 0.000 0.065 0.995
Os 0.500 0.442 0.242
Se 0.000 0.295 0.532
Mo 0.500 0.697 0.731
```

Calculated values
The total magnetization comes out at 0.000 μB/f.u. The uncorrected formation energy comes out at 35.6 kJ/mol of atoms.

---

DFT (GGA-PBE) results for crystalline MoOsSe4 at its relaxed geometry. Values from VASP.

Quantum ESPRESSO input file:
```
&SYSTEM
  ibrav = 0, nat = 6, ntyp = 3
/
ATOMIC_SPECIES
Se 78.96 Se.upf
Mo 95.94 Mo.upf
Os 190.23 Os.upf
CELL_PARAMETERS angstrom
3.443 -0.004 -0.001
-1.721 6.880 -1.315
0.001 -0.204 5.879
ATOMIC_POSITIONS crystal
Se 0.100 0.200 0.378
Se 0.631 0.260 0.905
Se 0.867 0.735 0.601
Se 0.403 0.806 0.110
Mo 0.496 0.991 0.557
Os 0.004 0.008 0.949
```

Calculated values
The total magnetization comes out at 0.330 μB/f.u. The uncorrected formation energy comes out at -35.3 kJ/mol of atoms. As for the polymorph energy (0 for the lowest one): 0.00 eV per formula unit.